YZr2Mn | PBE | relaxed

Results
energy above the most stable polymorph in this dataset = 0.0108 eV/atom
density of states at the Fermi level = 5.26 states/eV/f.u.

abc: 3.225 3.225 8.549
angles: 90.00 90.00 97.05
Fractional coordinates of all 4 atoms:
1 Y 0.000 0.000 0.000
2 Zr 0.500 0.500 0.320
3 Zr 0.500 0.500 0.680
4 Mn 0.000 0.000 0.500